Here is a geometry-optimized Na2MgIn structure from the Alexandria database. Energies are from GGA-PBE.

Cell lengths 3.349, 3.349, 35.806 Å; angles 90.00, 90.00, 120.00 degrees
Sites, in units of the cell vectors:
Na1 0.000 0.000 0.090
Na2 0.000 0.000 0.910
Na3 0.333 0.667 0.577
Na4 0.333 0.667 0.756
Na5 0.667 0.333 0.244
Na6 0.667 0.333 0.423
Mg1 0.000 0.000 0.000
Mg2 0.333 0.667 0.667
Mg3 0.667 0.333 0.333
In1 0.000 0.000 0.500
In2 0.333 0.667 0.167
In3 0.667 0.333 0.833

Output
Formation energy from the elements   0.10 eV/atom
V   28.988 Å³/atom